{
  "formula": "LaTl2Mo",
  "functional": "PBE",
  "state": "relaxed",
  "de_polymorph_mev_per_atom": 109,
  "final_energy_ev_per_cell": -18.8,
  "e_form_ev_per_fu": 1.7,
  "m_tot_mub_per_cell": 0.000,
  "dos_ef_per_ev_cell": 3.89,
  "cell": [[-1.5191, -2.3591, 1.7238], [2.8774, -1.0607, -1.1998], [4.6873, 3.1565, 8.4506]],
  "species": ["Tl", "Mo", "La", "Tl"],
  "fractional_positions": [[0.5000, 0.5000, 0.2397], [0.5000, 0.5000, 0.7520], [0.0000, 0.0000, 0.5389], [0.0000, 0.0000, 0.9695]]
}